[1]
UAl2GaSi: relaxed, PBE-GGA.

## Properties
Crystal system: orthorhombic
Total magnetization: 10.29 Bohr magnetons per cell
Raw formation energy: 0.122 eV per atom

abc: 3.7636 13.9383 7.7864
angles: 90.00 90.00 90.00
Space group Cmcm (No. 63)
One atom of each set of equivalent atoms:
U1 0.0000 0.1043 0.2500 [4 per cell]
Al1 0.0000 0.3180 0.0513 [8 per cell]
Ga1 0.0000 0.5000 0.0000 [4 per cell]
Si1 0.0000 0.2355 0.7500 [4 per cell]



[2]
Mn2AlW: relaxed, PBE-GGA.

## Properties
Crystal system: orthorhombic
Energy of formation: -0.4 eV per formula unit
Total magnetization: 0.00 Bohr magnetons per cell

abc: 2.9939 4.0967 8.3833
angles: 90.00 90.00 90.00
Space group Imm2 (No. 44)
One atom of each set of equivalent atoms:
Mn1 0.0000 0.0000 0.0000 [2 per cell]
Mn2 0.0000 0.5000 0.2593 [2 per cell]
Al1 0.0000 0.5000 0.7506 [2 per cell]
W1 0.0000 0.0000 0.5176 [2 per cell]



[3]
LaTh2S5: relaxed, PBE-GGA.

## Properties
Crystal system: orthorhombic
Total magnetization: 0.00 Bohr magnetons per cell
Raw formation energy: -2.007 eV per atom

abc: 12.3981 8.0981 7.5657
angles: 90.00 90.00 90.00
Space group Pnma (No. 62)
One atom of each set of equivalent atoms:
La1 0.0051 0.2500 0.0759 [4 per cell]
Th1 0.1804 0.9996 0.5095 [8 per cell]
S1 0.0010 0.2500 0.4700 [4 per cell]
S2 0.1118 0.5406 0.1597 [8 per cell]
S3 0.1867 0.2500 0.8198 [4 per cell]
S4 0.2152 0.7500 0.7921 [4 per cell]



[4]
K3AcAu8: relaxed, PBE-GGA.

## Properties
Crystal system: trigonal
Energy of formation: -4.5 eV per formula unit
Total magnetization: 0.00 Bohr magnetons per cell

abc: 5.7474 5.7474 10.0253
angles: 90.00 90.00 120.00
Space group P3m1 (No. 156)
One atom of each set of equivalent atoms:
K1 0.0000 0.0000 0.0000 [1 per cell]
K2 0.0000 0.0000 0.3623 [1 per cell]
K3 0.3333 0.6667 0.8969 [1 per cell]
Ac1 0.3333 0.6667 0.5046 [1 per cell]
Au1 0.0003 0.5001 0.1987 [3 per cell]
Au2 0.3326 0.1663 0.6867 [3 per cell]
Au3 0.6667 0.3333 0.4399 [1 per cell]
Au4 0.6667 0.3333 0.9446 [1 per cell]



[5]
TePt4Pb: relaxed, PBE-GGA.

## Properties
Crystal system: cubic
Total magnetization: 0.00 Bohr magnetons per cell
Raw formation energy: 0.052 eV per atom

abc: 7.7593 7.7593 7.7593
angles: 90.00 90.00 90.00
Space group F-43m (No. 216)
One atom of each set of equivalent atoms:
Te1 0.0000 0.0000 0.0000 [4 per cell]
Pt1 0.1253 0.1253 0.3747 [16 per cell]
Pb1 0.2500 0.2500 0.7500 [4 per cell]



[6]
La6Te3Ir2Se: relaxed, PBE-GGA.

## Properties
Crystal system: monoclinic
Total magnetization: 0.00 Bohr magnetons per cell
Raw formation energy: -1.403 eV per atom

abc: 19.6225 4.3330 9.1506
angles: 90.00 106.61 90.00
Space group C2/m (No. 12)
One atom of each set of equivalent atoms:
La1 0.0161 0.0000 0.2498 [4 per cell]
La2 0.1681 0.5000 0.1207 [4 per cell]
La3 0.1765 0.5000 0.5634 [4 per cell]
Te1 0.0000 0.5000 0.5000 [2 per cell]
Te2 0.1593 0.0000 0.8398 [4 per cell]
Ir1 0.1675 0.0000 0.3348 [4 per cell]
Se1 0.0000 0.5000 0.0000 [2 per cell]



[7]
Pr3SmOs8: relaxed, PBE-GGA.

## Properties
Crystal system: trigonal
Energy of formation: -0.7 eV per formula unit
Total magnetization: 0.00 Bohr magnetons per cell

abc: 5.4609 5.4609 26.6917
angles: 90.00 90.00 120.00
Space group R3m (No. 160, hexagonal axes)
One atom of each set of equivalent atoms:
Pr1 0.0000 0.0000 0.0000 [3 per cell]
Pr2 0.0000 0.0000 0.1252 [3 per cell]
Pr3 0.0000 0.0000 0.4998 [3 per cell]
Sm1 0.0000 0.0000 0.6248 [3 per cell]
Os1 0.0000 0.0000 0.3068 [3 per cell]
Os2 0.0000 0.0000 0.8071 [3 per cell]
Os3 0.0073 0.5036 0.0608 [9 per cell]
Os4 0.0103 0.5052 0.5622 [9 per cell]



[8]
Dy6HoTm3: relaxed, PBE-GGA.

## Properties
Crystal system: orthorhombic
Energy of formation: 1.5 eV per formula unit
Total magnetization: 0.00 Bohr magnetons per cell

abc: 10.8957 18.7999 6.1284
angles: 90.00 90.00 90.00
Space group Cmc2_1 (No. 36)
One atom of each set of equivalent atoms:
Dy1 0.0000 0.0472 0.0000 [4 per cell]
Dy2 0.0000 0.2821 0.7270 [4 per cell]
Dy3 0.1646 0.4544 0.6155 [8 per cell]
Dy4 0.2459 0.2903 0.4394 [8 per cell]
Ho1 0.0000 0.2065 0.2275 [4 per cell]
Tm1 0.0000 0.3894 0.1535 [4 per cell]
Tm2 0.1702 0.1090 0.5371 [8 per cell]



[9]
MgTl2Sb: relaxed, PBE-GGA.

## Properties
Crystal system: trigonal
Total magnetization: 0.00 Bohr magnetons per cell
Raw formation energy: -0.009 eV per atom

abc: 3.4683 3.4683 32.0917
angles: 90.00 90.00 120.00
Space group R3m (No. 160, hexagonal axes)
One atom of each set of equivalent atoms:
Mg1 0.0000 0.0000 0.0000 [3 per cell]
Tl1 0.0000 0.0000 0.5030 [3 per cell]
Tl2 0.0000 0.0000 0.7454 [3 per cell]
Sb1 0.0000 0.0000 0.2616 [3 per cell]



[10]
Cs3BaBi: relaxed, PBE-GGA.

## Properties
Crystal system: cubic
Energy of formation: 3.2 eV per formula unit
Total magnetization: 1.89 Bohr magnetons per cell

abc: 7.1196 7.1196 7.1196
angles: 90.00 90.00 90.00
Space group Pm-3m (No. 221)
One atom of each set of equivalent atoms:
Cs1 0.0000 0.0000 0.5000 [3 per cell]
Ba1 0.0000 0.0000 0.0000 [1 per cell]
Bi1 0.5000 0.5000 0.5000 [1 per cell]



[11]
TiPAuO2: relaxed, PBE-GGA.

## Properties
Crystal system: tetragonal
Total magnetization: 0.21 Bohr magnetons per cell
Raw formation energy: -1.143 eV per atom

abc: 3.7235 3.7235 5.6185
angles: 90.00 90.00 90.00
Space group P4/mmm (No. 123)
One atom of each set of equivalent atoms:
Ti1 0.0000 0.0000 0.0000 [1 per cell]
P1 0.0000 0.0000 0.5000 [1 per cell]
Au1 0.5000 0.5000 0.5000 [1 per cell]
O1 0.0000 0.5000 0.0000 [2 per cell]



[12]
Ce4HgPb5: relaxed, PBE-GGA.

## Properties
Crystal system: orthorhombic
Energy of formation: -3.1 eV per formula unit
Total magnetization: 6.26 Bohr magnetons per cell

abc: 11.4597 12.3008 4.5020
angles: 90.00 90.00 90.00
Space group Pmmn (No. 59, origin choice 2)
One atom of each set of equivalent atoms:
Ce1 0.0511 0.2500 0.2491 [4 per cell]
Ce2 0.2500 0.0029 0.7581 [4 per cell]
Hg1 0.2500 0.7500 0.6075 [2 per cell]
Pb1 0.0598 0.5742 0.2549 [8 per cell]
Pb2 0.2500 0.2500 0.7448 [2 per cell]



Looking at theoretical density for the records above, in order, we have 6339, 10358, 6675, 11117, 15855, 7482, 15139, 8713, 8267, 3428, 6561, 9404 kg/m³.